# 1
## Na3AlTe3 (PBEsol)

Data for a relaxed structure of Na3AlTe3.

Cell: 7.9773 7.6838 16.0436 Å, 90.00 119.11 90.00°
Fractional positions:
Na 0.0521 0.0168 0.2764
Na 0.0521 0.4832 0.7764
Na 0.2781 0.5006 0.6047
Na 0.2781 0.9994 0.1047
Na 0.3242 0.0028 0.5979
Na 0.3242 0.4972 0.0979
Na 0.6758 0.5028 0.9021
Na 0.6758 0.9972 0.4021
Na 0.7219 0.0006 0.8953
Na 0.7219 0.4994 0.3953
Na 0.9479 0.5168 0.2236
Na 0.9479 0.9832 0.7236
Al 0.3338 0.6393 0.4176
Al 0.3338 0.8607 0.9176
Al 0.6662 0.1393 0.0824
Al 0.6662 0.3607 0.5824
Te 0.0407 0.7403 0.9258
Te 0.0407 0.7597 0.4258
Te 0.3429 0.2091 0.9263
Te 0.3429 0.2909 0.4263
Te 0.3428 0.7372 0.2659
Te 0.3428 0.7628 0.7659
Te 0.6572 0.2372 0.2341
Te 0.6572 0.2628 0.7341
Te 0.6571 0.7091 0.5737
Te 0.6571 0.7909 0.0737
Te 0.9593 0.2403 0.5742
Te 0.9593 0.2597 0.0742

DOS(E_F): 0.000 states/eV/f.u.
Raw formation energy: -0.7636 eV per atom
SG: P2_1/c (14)

=====

# 2
## NaTi3Al (PBEsol)

Data for a relaxed structure of NaTi3Al.

Cell: 4.8540 4.8540 4.8540 Å, 90.00 90.00 90.00°
Fractional positions:
Na 0.0000 0.0000 0.0000
Ti 0.0000 0.5000 0.5000
Ti 0.5000 0.0000 0.5000
Ti 0.5000 0.5000 0.0000
Al 0.5000 0.5000 0.5000

DOS(E_F): 7.892 states/eV/f.u.
Formation enthalpy at 0 K: 1.019 eV/atom
SG: Pm-3m (221)

=====

# 3
## NaTiAlTl2 (PBEsol)

Data for a relaxed structure of NaTiAlTl2.

Cell: 5.3080 5.3080 5.5501 Å, 90.00 90.00 90.00°
Fractional positions:
Na 0.0000 0.0000 0.0000
Ti 0.0000 0.0000 0.5000
Al 0.5000 0.5000 0.0000
Tl 0.0000 0.5000 0.5000
Tl 0.5000 0.0000 0.5000

DOS(E_F): 4.716 states/eV/f.u.
Formation enthalpy at 0 K: 0.860 eV/atom
SG: P4/mmm (123)

=====

# 4
## NaYAl2 (PBEsol)

Data for a relaxed structure of NaYAl2.

Cell: 5.0063 5.0063 5.0063 Å, 60.00 60.00 60.00°
Fractional positions:
Na 0.0000 0.0000 0.0000
Y 0.5000 0.5000 0.5000
Al 0.2500 0.2500 0.2500
Al 0.7500 0.7500 0.7500

DOS(E_F): 1.225 states/eV/f.u.
Formation enthalpy at 0 K: -0.044 eV/atom
SG: Fm-3m (225)

=====

# 5
## NaAl3Zn (PBEsol)

Data for a relaxed structure of NaAl3Zn.

Cell: 5.0619 5.0619 5.0619 Å, 90.00 90.00 90.00°
Fractional positions:
Na 0.0000 0.0000 0.0000
Al 0.0000 0.0000 0.5000
Al 0.0000 0.5000 0.0000
Al 0.5000 0.0000 0.0000
Zn 0.5000 0.5000 0.5000

DOS(E_F): 2.537 states/eV/f.u.
Formation enthalpy at 0 K: 1.231 eV/atom
SG: Pm-3m (221)
ΔE to the lowest computed polymorph: 0.7778 eV per atom

=====

# 6
## NaAl3Zn (PBEsol)

Data for a relaxed structure of NaAl3Zn.

Cell: 4.8289 4.8289 4.8289 Å, 90.00 90.00 90.00°
Fractional positions:
Na 0.0000 0.0000 0.0000
Al 0.0000 0.5000 0.5000
Al 0.5000 0.0000 0.5000
Al 0.5000 0.5000 0.0000
Zn 0.5000 0.5000 0.5000

DOS(E_F): 2.098 states/eV/f.u.
Formation enthalpy at 0 K: 0.453 eV/atom
SG: Pm-3m (221)
ΔE to the lowest computed polymorph: 0.0000 eV per atom

=====

# 7
## Nb4Al (PBEsol)

Data for a relaxed structure of Nb4Al.

Cell: 11.7016 11.6119 2.7909 Å, 84.96 81.30 13.74°
Fractional positions:
Nb 0.0960 0.0960 0.9040
Nb 0.3009 0.3009 0.6991
Nb 0.6991 0.6991 0.3009
Nb 0.9040 0.9040 0.0960
Al 0.5000 0.5000 0.5000

DOS(E_F): 4.775 states/eV/f.u.
Formation enthalpy at 0 K: -0.101 eV/atom
SG: Fmmm (69)

=====

# 8
## NbAl2Ni9 (PBEsol)

Data for a relaxed structure of NbAl2Ni9.

Cell: 3.5709 3.5709 10.5566 Å, 90.00 90.00 90.00°
Fractional positions:
Nb 0.0000 0.0000 0.0000
Al 0.0000 0.0000 0.3397
Al 0.0000 0.0000 0.6603
Ni 0.0000 0.5000 0.1722
Ni 0.0000 0.5000 0.5000
Ni 0.0000 0.5000 0.8278
Ni 0.5000 0.0000 0.1722
Ni 0.5000 0.0000 0.5000
Ni 0.5000 0.0000 0.8278
Ni 0.5000 0.5000 0.0000
Ni 0.5000 0.5000 0.3370
Ni 0.5000 0.5000 0.6630

DOS(E_F): 10.247 states/eV/f.u.
Formation enthalpy at 0 K: -0.425 eV/atom
SG: P4/mmm (123)

=====

- Which formula does entry 8 have?
  NbAl2Ni9